DFT (GGA-PBE) results for an optimized crystal structure of Y2Hf2Al.

Geometry as POSCAR:
```
Y2Hf2Al
1.0
-5.128 -1.503 -5.124
-0.854 -6.781 2.844
-3.354 1.629 2.878
Y Hf Al
4 4 2
direct
0.160 0.660 0.500
0.660 0.840 0.500
0.840 0.340 0.500
0.340 0.160 0.500
0.360 0.860 0.000
0.860 0.640 0.000
0.640 0.140 0.000
0.140 0.360 0.000
0.000 0.000 0.000
0.500 0.500 0.000
```

Values from the calculation:
Crystal system = tetragonal
Energy above the lowest structure with this stoichiometry = 0.0 kJ per mole of atoms
Total moment = 0.0 μB per formula unit